Computed, not measured: an optimized crystal structure of CaAcPrEu at the PBE level of DFT.

a = 6.149 Å, b = 6.149 Å, c = 6.149 Å
α = 60.00°, β = 60.00°, γ = 60.00°
Site moments in Bohr magnetons follow the coordinates.
Fractional positions:
1 Eu 0.000 0.000 0.000  -6.90
2 Ca 0.250 0.250 0.250  -0.01
3 Pr 0.750 0.750 0.750  -0.01
4 Ac 0.500 0.500 0.500  -0.01

Calculated values
**DFT formation energy**: 0.08 eV per atom
**Electronic total energy**: -5.208 eV per atom
**ρ**: 5.65 Mg/m³
**Space-group type**: No. 216
**Density of states at the Fermi level**: 7.28 states/eV/cell

Computed, not measured: an optimized crystal structure of CaAcSmEu at the PBE level of DFT.

a = 6.112 Å, b = 6.112 Å, c = 6.112 Å
α = 60.00°, β = 60.00°, γ = 60.00°
Site moments in Bohr magnetons follow the coordinates.
Fractional positions:
1 Ca 0.250 0.250 0.250  0.01
2 Sm 0.750 0.750 0.750  -0.01
3 Eu 0.000 0.000 0.000  6.87
4 Ac 0.500 0.500 0.500  0.01

Calculated values
**DFT formation energy**: 0.10 eV per atom
**Electronic total energy**: -5.177 eV per atom
**ρ**: 5.86 Mg/m³
**Space-group type**: No. 216
**Density of states at the Fermi level**: 4.34 states/eV/cell

Q: Which volume values were calculated for the entries above? A: 164.4 161.4, in Å³/cell.